! PBE-GGA Ba3CoAs, relaxed; values from VASP
&SYSTEM
  ibrav = 0, nat = 5, ntyp = 3
/
ATOMIC_SPECIES
Ba 137.33 Ba.upf
Co 58.93 Co.upf
As 74.92 As.upf
CELL_PARAMETERS angstrom
5.602 0.000 0.000
0.000 5.602 0.000
0.000 0.000 5.602
ATOMIC_POSITIONS angstrom
Ba 0.000 0.000 2.801
Ba 0.000 2.801 0.000
Ba 2.801 0.000 0.000
Co 0.000 0.000 0.000
As 2.801 2.801 2.801
! energy above the lowest structure with this stoichiometry	0	meV/atom
! density of states at the Fermi level	2.25	states/eV per cell
! symmetry	No. 221

=====

! PBE-GGA TaTe2, relaxed; values from VASP
&SYSTEM
  ibrav = 0, nat = 6, ntyp = 2
/
ATOMIC_SPECIES
Ta 180.95 Ta.upf
Te 127.60 Te.upf
CELL_PARAMETERS angstrom
8.304 -1.658 0.000
8.304 1.658 0.000
-3.580 0.000 7.594
ATOMIC_POSITIONS angstrom
Ta 0.000 0.000 0.000
Ta 8.592 0.000 2.586
Te 0.549 0.000 4.861
Te 2.286 0.000 1.420
Te 4.357 0.000 5.439
Te 14.692 0.000 1.889
! density of states at the Fermi level	0.11	states/eV per cell
! symmetry	No. 8
! uncorrected formation energy	-0.13	eV per atom

=====

! PBE-GGA Pm2Ho5Mg, relaxed; values from VASP
&SYSTEM
  ibrav = 0, nat = 8, ntyp = 3
/
ATOMIC_SPECIES
Pm 145.00 Pm.upf
Ho 164.93 Ho.upf
Mg 24.30 Mg.upf
CELL_PARAMETERS angstrom
-3.502 3.502 5.029
3.502 -3.502 5.029
3.502 3.502 -5.029
ATOMIC_POSITIONS angstrom
Pm 3.502 0.000 0.000
Pm 0.000 3.502 0.000
Ho 0.000 0.000 0.000
Ho 1.751 1.751 -2.514
Ho 1.751 -1.751 2.514
Ho -1.751 1.751 2.514
Ho 1.751 1.751 2.514
Mg 0.000 0.000 5.029
! VASP energy	-4.2312	eV/atom
! density of states at the Fermi level	8.31	states/eV per cell
! symmetry	No. 139

=====

! PBE-GGA CaTl3Cu2F9, relaxed; values from VASP
&SYSTEM
  ibrav = 0, nat = 15, ntyp = 4
/
ATOMIC_SPECIES
Ca 40.08 Ca.upf
Tl 204.38 Tl.upf
Cu 63.55 Cu.upf
F 19.00 F.upf
CELL_PARAMETERS angstrom
6.024 0.000 0.000
-3.012 5.217 0.000
0.000 0.000 7.416
ATOMIC_POSITIONS angstrom
Ca 0.000 0.000 0.000
Tl 0.000 0.000 3.708
Tl 0.000 3.478 1.321
Tl 3.012 1.739 6.096
Cu 0.000 3.478 4.869
Cu 3.012 1.739 2.547
F -1.506 2.609 3.708
F 0.000 1.815 6.067
F -1.440 4.310 6.067
F 1.572 0.907 1.349
F 3.012 0.000 3.708
F 1.506 2.609 3.708
F 1.440 4.310 6.067
F 4.452 0.907 1.349
F 3.012 3.402 1.349
! density of states at the Fermi level	2.20	states/eV per cell
! symmetry	No. 164
! uncorrected formation energy	-2.11	eV per atom

=====

! PBE-GGA LiAl2HPt, relaxed; values from VASP
&SYSTEM
  ibrav = 0, nat = 5, ntyp = 4
/
ATOMIC_SPECIES
Li 6.94 Li.upf
Al 26.98 Al.upf
H 1.01 H.upf
Pt 195.08 Pt.upf
CELL_PARAMETERS angstrom
4.124 0.000 0.000
0.000 4.124 0.000
0.000 0.000 3.445
ATOMIC_POSITIONS angstrom
Li 0.000 0.000 0.000
Al 0.000 2.062 1.723
Al 2.062 0.000 1.723
H 0.000 0.000 1.723
Pt 2.062 2.062 0.000
! VASP energy	-4.2527	eV/atom
! density of states at the Fermi level	1.24	states/eV per cell
! symmetry	No. 123

=====

! PBE-GGA Tl2Cd4Sn, relaxed; values from VASP
&SYSTEM
  ibrav = 0, nat = 7, ntyp = 3
/
ATOMIC_SPECIES
Tl 204.38 Tl.upf
Cd 112.41 Cd.upf
Sn 118.71 Sn.upf
CELL_PARAMETERS angstrom
5.409 -2.839 0.000
5.409 2.839 0.000
-4.770 0.000 7.390
ATOMIC_POSITIONS angstrom
Tl 1.530 0.000 0.688
Tl 4.518 0.000 6.701
Cd 0.320 1.419 3.695
Cd 1.384 0.000 6.210
Cd 0.320 -1.419 3.695
Cd 4.664 0.000 1.180
Sn 3.024 0.000 3.695
! VASP energy	-1.6038	eV/atom
! density of states at the Fermi level	3.43	states/eV per cell
! symmetry	No. 12

=====

! PBE-GGA Er3Ga, relaxed; values from VASP
&SYSTEM
  ibrav = 0, nat = 4, ntyp = 2
/
ATOMIC_SPECIES
Er 167.26 Er.upf
Ga 69.72 Ga.upf
CELL_PARAMETERS angstrom
-2.286 2.286 4.915
2.286 -2.286 4.915
2.286 2.286 -4.915
ATOMIC_POSITIONS angstrom
Er 0.000 0.000 0.000
Er 2.286 0.000 2.458
Er 0.000 2.286 2.458
Ga 0.000 0.000 4.915
! VASP energy	-4.3825	eV/atom
! density of states at the Fermi level	4.70	states/eV per cell
! symmetry	No. 139

=====

! PBE-GGA VCoTe2, relaxed; values from VASP
&SYSTEM
  ibrav = 0, nat = 4, ntyp = 3
/
ATOMIC_SPECIES
V 50.94 V.upf
Co 58.93 Co.upf
Te 127.60 Te.upf
CELL_PARAMETERS angstrom
0.000 3.359 3.359
3.359 0.000 3.359
3.359 3.359 0.000
ATOMIC_POSITIONS angstrom
V 0.000 0.000 0.000
Co 3.359 3.359 3.359
Te 1.679 1.679 1.679
Te 5.038 5.038 5.038
! density of states at the Fermi level	5.53	states/eV per cell
! symmetry	No. 225
! uncorrected formation energy	0.32	eV per atom